The following is a DFT calculation (GGA+U) of MnO2 after structural relaxation.

Computed properties:
magnetic moment = 3.00 μB/f.u.
volume = 231.7 Å³/cell
E_tot = -0.5229 Ry/atom

Geometry as CIF:
```
data_MnO2
_chemical_formula_sum 'Mn6 O12'
_space_group_name_H-M_alt 'R -3 m'
_space_group_IT_number 166
_space_group_name_Hall '-R 3 2"'
_cell_length_a 2.9300
_cell_length_b 2.9300
_cell_length_c 31.1606
_cell_angle_alpha 90.00
_cell_angle_beta 90.00
_cell_angle_gamma 120.00
loop_
_atom_site_label
_atom_site_type_symbol
_atom_site_fract_x
_atom_site_fract_y
_atom_site_fract_z
_atom_site_occupancy
Mn1 Mn 0.0000 0.0000 0.0000 1
Mn2 Mn 0.0000 0.0000 0.5000 1
O1 O 0.0000 0.0000 0.1359 1
O2 O 0.0000 0.0000 0.3026 1
```